Entry 1:
First-principles (GGA-PBE) data for an optimized crystal structure of Na2UAgS4, as listed in Alexandria.

The structure in POSCAR format:
```
Na2UAgS4
1.0
6.527 0.000 0.000
0.000 4.021 0.000
-2.187 0.000 6.704
Na U Ag S
2 1 1 4
Direct
0.000 0.000 0.000
0.500 0.500 0.000
0.000 0.500 0.500
0.500 0.000 0.500
0.230 0.000 0.724
0.236 0.500 0.271
0.764 0.500 0.729
0.770 0.000 0.276
```

For the density of states at the Fermi level, the calculation gives 0.606 states/eV/atom. As for the space group: P2/m, No. 10. The total energy comes out at -5.20 eV per atom.



Entry 2:
First-principles (GGA-PBE) data for an optimized crystal structure of Ac3Al5F12, as listed in Alexandria.

The structure in POSCAR format:
```
Ac3Al5F12
1.0
-7.312 7.312 7.312
7.312 -7.312 7.312
7.312 7.312 -7.312
Ac Al F
12 20 48
Direct
0.125 0.250 0.375
0.125 0.375 0.750
0.250 0.375 0.125
0.250 0.875 0.625
0.375 0.125 0.250
0.375 0.750 0.125
0.625 0.250 0.875
0.625 0.875 0.750
0.750 0.125 0.375
0.750 0.625 0.875
0.875 0.625 0.250
0.875 0.750 0.625
0.000 0.000 0.000
0.000 0.000 0.500
0.000 0.500 0.000
0.000 0.500 0.500
0.125 0.750 0.875
0.125 0.875 0.250
0.250 0.125 0.875
0.250 0.625 0.375
0.375 0.250 0.625
0.375 0.625 0.750
0.500 0.000 0.000
0.500 0.000 0.500
0.500 0.500 0.000
0.500 0.500 0.500
0.625 0.375 0.250
0.625 0.750 0.375
0.750 0.375 0.625
0.750 0.875 0.125
0.875 0.125 0.750
0.875 0.250 0.125
0.069 0.231 0.151
0.069 0.338 0.918
0.079 0.731 0.662
0.079 0.849 0.418
0.082 0.651 0.421
0.082 0.931 0.662
0.151 0.069 0.231
0.151 0.582 0.921
0.162 0.231 0.579
0.162 0.431 0.582
0.231 0.151 0.069
0.231 0.579 0.162
0.269 0.338 0.921
0.269 0.431 0.349
0.338 0.918 0.069
0.338 0.921 0.269
0.349 0.269 0.431
0.349 0.579 0.918
0.418 0.079 0.849
0.418 0.838 0.569
0.421 0.082 0.651
0.421 0.838 0.769
0.431 0.349 0.269
0.431 0.582 0.162
0.569 0.418 0.838
0.569 0.651 0.731
0.579 0.162 0.231
0.579 0.918 0.349
0.582 0.162 0.431
0.582 0.921 0.151
0.651 0.421 0.082
0.651 0.731 0.569
0.662 0.079 0.731
0.662 0.082 0.931
0.731 0.569 0.651
0.731 0.662 0.079
0.769 0.421 0.838
0.769 0.849 0.931
0.838 0.569 0.418
0.838 0.769 0.421
0.849 0.418 0.079
0.849 0.931 0.769
0.918 0.069 0.338
0.918 0.349 0.579
0.921 0.151 0.582
0.921 0.269 0.338
0.931 0.662 0.082
0.931 0.769 0.849
```

For the density of states at the Fermi level, the calculation gives 0.315 states/eV/atom. As for the space group: Ia-3d, No. 230. The total energy comes out at -5.12 eV per atom.



Entry 3:
First-principles (GGA-PBE) data for an optimized crystal structure of K4Tm3TiSe8, as listed in Alexandria.

The structure in POSCAR format:
```
K4Tm3TiSe8
1.0
4.095 2.364 7.654
-4.095 2.364 7.654
0.000 -4.728 7.654
K Tm Ti Se
4 3 1 8
Direct
0.000 0.000 0.000
0.000 0.500 0.500
0.500 0.000 0.500
0.500 0.500 0.000
0.000 0.000 0.500
0.000 0.500 0.000
0.500 0.000 0.000
0.500 0.500 0.500
0.235 0.235 0.235
0.247 0.725 0.725
0.275 0.275 0.753
0.275 0.753 0.275
0.725 0.247 0.725
0.725 0.725 0.247
0.753 0.275 0.275
0.765 0.765 0.765
```

For the density of states at the Fermi level, the calculation gives 0.335 states/eV/atom. As for the space group: R-3m, No. 166. The total energy comes out at -4.93 eV per atom.



Entry 4:
First-principles (GGA-PBE) data for an optimized crystal structure of RbIn2Pd, as listed in Alexandria.

The structure in POSCAR format:
```
RbIn2Pd
1.0
-3.111 3.111 8.352
3.111 -3.111 8.352
3.111 3.111 -8.352
Rb In Pd
2 4 2
Direct
0.000 0.000 0.000
0.750 0.250 0.500
0.374 0.125 0.749
0.375 0.626 0.751
0.376 0.625 0.251
0.875 0.624 0.249
0.250 0.750 0.500
0.500 0.500 0.000
```

For the density of states at the Fermi level, the calculation gives 0.748 states/eV/atom. The calculated formation energy is -0.08 eV/atom. As for the space group: I-42d, No. 122.



Entry 5:
First-principles (GGA-PBE) data for an optimized crystal structure of KSr2Zn2, as listed in Alexandria.

The structure in POSCAR format:
```
KSr2Zn2
1.0
-2.048 2.048 12.268
2.048 -2.048 12.268
2.048 2.048 -12.268
K Sr Zn
1 2 2
Direct
0.000 0.000 0.000
0.354 0.354 0.000
0.646 0.646 0.000
0.250 0.750 0.500
0.750 0.250 0.500
```

For the density of states at the Fermi level, the calculation gives 0.815 states/eV/atom. The calculation puts the excess energy over the best structure of this formula in the dataset at 29.1 meV/atom. The calculated formation energy is 0.05 eV/atom. As for the space group: I4/mmm, No. 139.



Entry 6:
First-principles (GGA-PBE) data for an optimized crystal structure of AcIrS2, as listed in Alexandria.

The structure in POSCAR format:
```
AcIrS2
1.0
2.163 1.249 5.063
-2.163 1.249 5.063
0.000 -2.498 5.063
Ac Ir S
1 1 2
Direct
0.000 0.000 0.000
0.500 0.500 0.500
0.220 0.220 0.220
0.780 0.780 0.780
```

For the density of states at the Fermi level, the calculation gives 0.497 states/eV/atom. As for the space group: R-3m, No. 166. The total energy comes out at -6.15 eV per atom.



Entry 7:
First-principles (GGA-PBE) data for an optimized crystal structure of Li4Pb3Au2, as listed in Alexandria.

The structure in POSCAR format:
```
Li4Pb3Au2
1.0
4.889 -4.896 0.000
4.889 4.896 0.000
-0.895 0.000 7.995
Li Pb Au
8 6 4
Direct
0.107 0.796 0.923
0.204 0.893 0.577
0.206 0.453 0.415
0.453 0.206 0.915
0.547 0.794 0.085
0.794 0.547 0.585
0.796 0.107 0.423
0.893 0.204 0.077
0.056 0.266 0.729
0.266 0.056 0.229
0.417 0.583 0.750
0.583 0.417 0.250
0.734 0.944 0.771
0.944 0.734 0.271
0.199 0.458 0.068
0.458 0.199 0.568
0.542 0.801 0.432
0.801 0.542 0.932
```

For the density of states at the Fermi level, the calculation gives 0.315 states/eV/atom. The calculation puts the excess energy over the best structure of this formula in the dataset at 27.1 meV/atom. The calculated formation energy is -0.27 eV/atom. As for the space group: C2/c, No. 15.



Entry 8:
First-principles (GGA-PBE) data for an optimized crystal structure of TaInW2, as listed in Alexandria.

The structure in POSCAR format:
```
TaInW2
1.0
1.444 0.834 9.965
-1.444 0.834 9.965
0.000 -1.668 9.965
Ta In W
1 1 2
Direct
0.000 0.000 0.000
0.247 0.247 0.247
0.496 0.496 0.496
0.750 0.750 0.750
```

For the density of states at the Fermi level, the calculation gives 1.251 states/eV/atom. The calculated formation energy is 0.51 eV/atom. As for the space group: R3m, No. 160.



Entry 9:
First-principles (GGA-PBE) data for an optimized crystal structure of Pr3TmAs4, as listed in Alexandria.

The structure in POSCAR format:
```
Pr3TmAs4
1.0
4.248 -6.008 0.000
4.248 6.008 0.000
0.000 0.000 4.254
Pr Tm As
3 1 4
Direct
0.000 0.000 0.000
0.000 0.500 0.500
0.500 0.000 0.500
0.500 0.500 0.000
0.255 0.745 0.000
0.260 0.260 0.500
0.740 0.740 0.500
0.745 0.255 0.000
```

For the density of states at the Fermi level, the calculation gives 0.079 states/eV/atom. The calculation puts the excess energy over the best structure of this formula in the dataset at 0.0 meV/atom. The calculated formation energy is -1.48 eV/atom. As for the space group: Cmmm, No. 65.



Entry 10:
First-principles (GGA-PBE) data for an optimized crystal structure of HoSi2Ni, as listed in Alexandria.

The structure in POSCAR format:
```
HoSi2Ni
1.0
3.975 0.000 0.000
0.000 3.952 0.000
-1.987 0.000 8.237
Ho Si Ni
2 4 2
Direct
0.105 0.250 0.210
0.895 0.750 0.790
0.249 0.750 0.500
0.459 0.250 0.920
0.541 0.750 0.080
0.751 0.250 0.500
0.324 0.250 0.646
0.676 0.750 0.354
```

For the density of states at the Fermi level, the calculation gives 0.338 states/eV/atom. As for the space group: P2_1/m, No. 11. The total energy comes out at -6.14 eV per atom.



Entry 11:
First-principles (GGA-PBE) data for an optimized crystal structure of GaSCl3, as listed in Alexandria.

The structure in POSCAR format:
```
GaSCl3
1.0
4.909 0.000 0.000
0.000 4.909 0.000
0.000 0.000 4.909
Ga S Cl
1 1 3
Direct
0.000 0.000 0.000
0.500 0.500 0.500
0.000 0.000 0.500
0.000 0.500 0.000
0.500 0.000 0.000
```

For the density of states at the Fermi level, the calculation gives 0.510 states/eV/atom. The calculation puts the excess energy over the best structure of this formula in the dataset at 554.3 meV/atom. As for the space group: Pm-3m, No. 221.



Entry 12:
First-principles (GGA-PBE) data for an optimized crystal structure of AgP2Cl, as listed in Alexandria.

The structure in POSCAR format:
```
AgP2Cl
1.0
-1.629 1.931 6.589
1.629 -1.931 6.589
1.629 1.931 -6.589
Ag P Cl
1 2 1
Direct
0.000 0.000 0.000
0.601 0.601 0.000
0.711 0.211 0.500
0.366 0.866 0.500
```

For the density of states at the Fermi level, the calculation gives 0.459 states/eV/atom. The calculation puts the excess energy over the best structure of this formula in the dataset at 211.1 meV/atom. As for the space group: Imm2, No. 44.



Entry 13:
First-principles (GGA-PBE) data for an optimized crystal structure of HoMg2Cd2, as listed in Alexandria.

The structure in POSCAR format:
```
HoMg2Cd2
1.0
6.914 -2.149 0.000
6.914 2.149 0.000
-1.317 0.000 4.089
Ho Mg Cd
1 2 2
Direct
0.000 0.000 0.000
0.250 0.250 0.751
0.750 0.750 0.249
0.396 0.396 0.395
0.604 0.604 0.605
```

For the density of states at the Fermi level, the calculation gives 0.514 states/eV/atom. The calculation puts the excess energy over the best structure of this formula in the dataset at 35.4 meV/atom. The calculated formation energy is -0.14 eV/atom. As for the space group: C2/m, No. 12.



Entry 14:
First-principles (GGA-PBE) data for an optimized crystal structure of PaIn2GaSn, as listed in Alexandria.

The structure in POSCAR format:
```
PaIn2GaSn
1.0
1.559 -9.790 0.000
1.559 9.790 0.000
0.000 0.000 8.482
Pa In Ga Sn
2 4 2 2
Direct
0.098 0.902 0.750
0.902 0.098 0.250
0.338 0.662 0.563
0.338 0.662 0.937
0.662 0.338 0.063
0.662 0.338 0.437
0.265 0.735 0.250
0.735 0.265 0.750
0.500 0.500 0.000
0.500 0.500 0.500
```

For the density of states at the Fermi level, the calculation gives 1.147 states/eV/atom. The calculated formation energy is -0.03 eV/atom. As for the space group: Cmcm, No. 63.



Entry 15:
First-principles (GGA-PBE) data for an optimized crystal structure of TlIn2Os, as listed in Alexandria.

The structure in POSCAR format:
```
TlIn2Os
1.0
2.913 -4.214 0.000
2.913 4.214 0.000
0.000 0.000 3.391
Tl In Os
1 2 1
Direct
0.000 0.000 0.000
0.000 0.500 0.500
0.500 0.000 0.500
0.500 0.500 0.000
```

For the density of states at the Fermi level, the calculation gives 0.561 states/eV/atom. The calculation puts the excess energy over the best structure of this formula in the dataset at 333.9 meV/atom. The calculated formation energy is 0.69 eV/atom. As for the space group: Cmmm, No. 65.



Entry 16:
First-principles (GGA-PBE) data for an optimized crystal structure of TbPu3Tl4, as listed in Alexandria.

The structure in POSCAR format:
```
TbPu3Tl4
1.0
3.358 0.000 0.000
0.000 3.358 0.000
0.000 0.000 19.128
Tb Pu Tl
1 3 4
Direct
0.000 0.000 0.000
0.000 0.000 0.247
0.000 0.000 0.500
0.000 0.000 0.753
0.500 0.500 0.122
0.500 0.500 0.374
0.500 0.500 0.626
0.500 0.500 0.878
```

For the density of states at the Fermi level, the calculation gives 2.627 states/eV/atom. The calculated formation energy is -0.10 eV/atom. As for the space group: P4/mmm, No. 123.



Entry 17:
First-principles (GGA-PBE) data for an optimized crystal structure of CdRuPb2O6, as listed in Alexandria.

The structure in POSCAR format:
```
CdRuPb2O6
1.0
5.694 0.000 0.000
0.000 5.981 0.000
-5.619 0.000 8.202
Cd Ru Pb O
2 2 4 12
Direct
0.000 0.000 0.000
0.000 0.500 0.500
0.500 0.000 0.500
0.500 0.500 0.000
0.230 0.045 0.740
0.230 0.455 0.240
0.770 0.545 0.760
0.770 0.955 0.260
0.173 0.176 0.460
0.173 0.324 0.960
0.258 0.732 0.433
0.258 0.768 0.933
0.377 0.055 0.273
0.377 0.445 0.773
0.623 0.555 0.227
0.623 0.945 0.727
0.742 0.232 0.067
0.742 0.268 0.567
0.827 0.676 0.040
0.827 0.824 0.540
```

For the density of states at the Fermi level, the calculation gives 0.334 states/eV/atom. As for the space group: P2_1/c, No. 14. The total energy comes out at -5.74 eV per atom.



Entry 18:
First-principles (GGA-PBE) data for an optimized crystal structure of TbPm2ScAs4, as listed in Alexandria.

The structure in POSCAR format:
```
TbPm2ScAs4
1.0
7.143 0.000 0.000
0.000 4.136 0.000
-2.389 0.000 6.742
Tb Pm Sc As
1 2 1 4
Direct
0.000 0.000 0.000
0.500 0.000 0.500
0.500 0.500 0.000
0.000 0.500 0.500
0.234 0.000 0.738
0.239 0.500 0.253
0.761 0.500 0.747
0.766 0.000 0.262
```

For the density of states at the Fermi level, the calculation gives 0.098 states/eV/atom. The calculated formation energy is -1.47 eV/atom. As for the space group: P2/m, No. 10.



Entry 19:
First-principles (GGA-PBE) data for an optimized crystal structure of BaRhSe2, as listed in Alexandria.

The structure in POSCAR format:
```
BaRhSe2
1.0
4.778 0.000 0.000
0.000 4.567 0.000
-1.012 0.000 5.416
Ba Rh Se
1 1 2
Direct
0.000 0.000 0.000
0.434 0.500 0.667
0.385 0.000 0.552
0.536 0.500 0.115
```

For the density of states at the Fermi level, the calculation gives 0.816 states/eV/atom. The calculation puts the excess energy over the best structure of this formula in the dataset at 67.2 meV/atom. As for the space group: Pm, No. 6.



Entry 20:
First-principles (GGA-PBE) data for an optimized crystal structure of CeGa5Tc2, as listed in Alexandria.

The structure in POSCAR format:
```
CeGa5Tc2
1.0
-1.703 4.364 4.682
1.703 -4.364 4.682
1.703 4.364 -4.682
Ce Ga Tc
1 5 2
Direct
0.000 0.000 0.000
0.148 0.351 0.797
0.447 0.649 0.797
0.500 0.000 0.500
0.553 0.351 0.203
0.852 0.649 0.203
0.230 0.730 0.500
0.770 0.270 0.500
```

For the density of states at the Fermi level, the calculation gives 0.461 states/eV/atom. The calculated formation energy is -0.25 eV/atom. As for the space group: Immm, No. 71.